(1)
An optimized crystal structure of Re2NiRu. Source: the Alexandria database, functional PBE.

CIF file:
```
data_Re2NiRu
_chemical_formula_sum 'Re2 Ni1 Ru1'
_cell_length_a 4.6889
_cell_length_b 4.6889
_cell_length_c 4.6225
_cell_angle_alpha 99.71
_cell_angle_beta 99.71
_cell_angle_gamma 33.79
_space_group_name_H-M_alt 'P 1'
_space_group_IT_number 1
loop_
_space_group_symop_operation_xyz
'x,y,z'
loop_
_atom_site_label
_atom_site_type_symbol
_atom_site_fract_x
_atom_site_fract_y
_atom_site_fract_z
Re1 Re 0.2503 0.2503 0.2493
Re2 Re 0.7497 0.7497 0.7507
Ni1 Ni 0.0000 0.0000 0.5000
Ru1 Ru 0.5000 0.5000 0.0000
```

## Properties
The value obtained for the volume is 55.6 Å³/cell. As for the space group: C2/m, No. 12. The calculation puts the energy above the lowest structure with this stoichiometry at 0.161 eV per atom. The value obtained for the calculated formation energy is 101 meV per atom. Its raw total energy is -0.363 hartree per atom.

=====

(2)
An optimized crystal structure of Re2NiRu. Source: the Alexandria database, functional PBE.

CIF file:
```
data_Re2NiRu
_chemical_formula_sum 'Re2 Ni1 Ru1'
_cell_length_a 4.6698
_cell_length_b 4.6698
_cell_length_c 2.7050
_cell_angle_alpha 90.00
_cell_angle_beta 90.00
_cell_angle_gamma 110.62
_space_group_name_H-M_alt 'P 1'
_space_group_IT_number 1
loop_
_space_group_symop_operation_xyz
'x,y,z'
loop_
_atom_site_label
_atom_site_type_symbol
_atom_site_fract_x
_atom_site_fract_y
_atom_site_fract_z
Re1 Re 0.0000 0.5000 0.0000
Re2 Re 0.5000 0.0000 0.0000
Ni1 Ni 0.0000 0.0000 0.5000
Ru1 Ru 0.5000 0.5000 0.5000
```

## Properties
The value obtained for the volume is 55.2 Å³/cell. As for the space group: Cmmm, No. 65. The calculation puts the energy above the lowest structure with this stoichiometry at 0.135 eV per atom. The value obtained for the calculated formation energy is 75 meV per atom. Its raw total energy is -0.364 hartree per atom.